TmTlZnCu | GGA-PBE | relaxed

Unit cell a=4.7983 b=4.7983 c=4.7983 alpha=60.00 beta=60.00 gamma=60.00
With the nearest neighbours (Å) after each atom.
Element x y z (fractional)
Tl (0.5000, 0.5000, 0.5000)  4 Cu 2.94, 4 Zn 2.94
Tm (0.0000, 0.0000, 0.0000)  4 Cu 2.94, 4 Zn 2.94
Zn (0.7500, 0.7500, 0.7500)  4 Tl 2.94, 4 Tm 2.94
Cu (0.2500, 0.2500, 0.2500)  4 Tl 2.94, 4 Tm 2.94

Calculated density, g cm⁻³: 10.68
Space-group type: F-43m, No. 216
Calculated total energy, eV per atom: -3.180